{"formula": "Sc3Bi2As", "functional": "PBE", "state": "relaxed", "magnetic_moment_mub_per_atom": 0.0000, "total_energy_ev_per_atom": -6.11, "delta_e_f_ev_per_atom": -0.877, "lattice_angstrom": [[7.0659, 0.0456, -1.3117], [-2.6912, 6.5335, -1.3117], [-0.0404, -0.0608, 12.9895]], "species": ["Sc", "Sc", "Sc", "Sc", "Sc", "Sc", "Sc", "Sc", "Sc", "Sc", "Sc", "Sc", "As", "As", "As", "As", "Bi", "Bi", "Bi", "Bi", "Bi", "Bi", "Bi", "Bi"], "fractional_positions": [[0.1630, 0.6835, 0.8240], [0.5890, 0.6095, 0.6760], [0.6610, 0.1405, 0.8240], [0.3905, 0.4110, 0.3240], [0.2239, 0.2239, 0.0000], [0.9335, 0.9130, 0.3240], [0.3165, 0.8370, 0.1760], [0.0870, 0.0665, 0.6760], [0.7761, 0.7761, 0.0000], [0.8595, 0.3390, 0.1760], [0.4739, 0.9739, 0.5000], [0.0261, 0.5261, 0.5000], [0.1665, 0.6665, 0.3329], [0.0835, 0.0835, 0.1671], [0.3335, 0.8335, 0.6671], [0.9165, 0.9165, 0.8329], [0.5027, 0.0027, 0.0054], [0.4201, 0.4201, 0.8401], [0.5799, 0.5799, 0.1599], [0.2527, 0.2527, 0.5054], [0.7473, 0.7473, 0.4946], [0.9973, 0.4973, 0.9946], [0.8299, 0.3299, 0.6599], [0.6701, 0.1701, 0.3401]]}